[1]
The following is a PBE calculation of a geometry-optimized NdMnGe structure, from Alexandria.

Values from the calculation:
- M_tot (μB/f.u.) = 1.9
- ρ (g/cm3) = 7.3
- ΔE_f (eV/atom) = -0.457
- calculated total energy (eV/atom) = -6.642

Geometry as POSCAR:
```
NdMnGe
1.0
4.054 0.000 0.000
0.000 4.054 0.000
0.000 0.000 7.481
Nd Mn Ge
2 2 2
direct
0.250 0.250 0.171
0.750 0.750 0.829
0.250 0.750 0.500
0.750 0.250 0.500
0.250 0.250 0.700
0.750 0.750 0.300
```

=====

[2]
The following is a PBE calculation of a geometry-optimized NdMnGe structure, from Alexandria.

Values from the calculation:
- M_tot (μB/f.u.) = 3.9
- ρ (g/cm3) = 6.7
- ΔE_f (eV/atom) = -0.376
- calculated total energy (eV/atom) = -6.561

Geometry as POSCAR:
```
NdMnGe
1.0
4.354 0.000 0.000
-2.177 3.770 0.000
0.000 0.000 4.098
Nd Mn Ge
1 1 1
direct
0.000 0.000 0.000
0.333 0.667 0.500
0.667 0.333 0.500
```

=====

[3]
The following is a PBE calculation of a geometry-optimized NdMn5Ge3 structure, from Alexandria.

Values from the calculation:
- M_tot (μB/f.u.) = 10.1
- ρ (g/cm3) = 7.4
- ΔE_f (eV/atom) = -0.204
- calculated total energy (eV/atom) = -7.368

Geometry as POSCAR:
```
NdMn5Ge3
1.0
1.935 -6.215 0.000
1.935 6.215 0.000
0.000 0.000 11.872
Nd Mn Ge
2 10 6
direct
0.165 0.835 0.750
0.835 0.165 0.250
0.000 0.000 0.000
0.000 0.000 0.500
0.191 0.809 0.052
0.191 0.809 0.448
0.434 0.566 0.637
0.434 0.566 0.863
0.566 0.434 0.137
0.566 0.434 0.363
0.809 0.191 0.552
0.809 0.191 0.948
0.120 0.880 0.250
0.383 0.617 0.062
0.383 0.617 0.438
0.617 0.383 0.562
0.617 0.383 0.938
0.880 0.120 0.750
```

=====

[4]
The following is a PBE calculation of a geometry-optimized NdMnGe structure, from Alexandria.

Values from the calculation:
- M_tot (μB/f.u.) = 2.0
- ρ (g/cm3) = 7.2
- ΔE_f (eV/atom) = -0.417
- calculated total energy (eV/atom) = -6.602

Geometry as POSCAR:
```
NdMnGe
1.0
-2.016 2.016 7.677
2.016 -2.016 7.677
2.016 2.016 -7.677
Nd Mn Ge
2 2 2
direct
0.164 0.164 0.000
0.836 0.836 0.000
0.000 0.500 0.500
0.500 0.000 0.500
0.397 0.397 0.000
0.603 0.603 0.000
```

=====

[5]
The following is a PBE calculation of a geometry-optimized NdMn6Ge6 structure, from Alexandria.

Values from the calculation:
- M_tot (μB/f.u.) = 11.6
- ρ (g/cm3) = 7.9
- ΔE_f (eV/atom) = -0.277
- distance to the lowest polymorph of the same formula (meV/atom) = 0
- calculated total energy (eV/atom) = -7.007

Geometry as POSCAR:
```
NdMn6Ge6
1.0
-2.600 4.106 4.500
2.600 -4.106 4.500
2.600 4.106 -4.500
Nd Mn Ge
1 6 6
direct
0.000 0.000 0.000
0.000 0.000 0.500
0.000 0.500 0.000
0.252 0.500 0.752
0.500 0.000 0.000
0.500 0.500 0.500
0.748 0.500 0.248
0.172 0.672 0.500
0.338 0.338 0.000
0.347 0.000 0.347
0.653 0.000 0.653
0.662 0.662 0.000
0.828 0.328 0.500
```

=====

[6]
The following is a PBE calculation of a geometry-optimized NdMnGe3 structure, from Alexandria.

Values from the calculation:
- M_tot (μB/f.u.) = 0.5
- ρ (g/cm3) = 7.2
- ΔE_f (eV/atom) = -0.411
- calculated total energy (eV/atom) = -5.969

Geometry as POSCAR:
```
NdMnGe3
1.0
-2.183 2.183 5.021
2.183 -2.183 5.021
2.183 2.183 -5.021
Nd Mn Ge
1 1 3
direct
0.000 0.000 0.000
0.670 0.670 0.000
0.256 0.756 0.500
0.444 0.444 0.000
0.756 0.256 0.500
```